## 1
## Hf2Zr2Au (PBE)

Data for a relaxed Hf2Zr2Au crystal.

The structure in CIF format:
```
data_Hf2Zr2Au
_cell_length_a 7.2912
_cell_length_b 7.2912
_cell_length_c 4.2744
_cell_angle_alpha 90.00
_cell_angle_beta 90.00
_cell_angle_gamma 90.00
_symmetry_space_group_name_H-M 'P 4/m b m'
_symmetry_Int_Tables_number 127
_symmetry_space_group_name_Hall '-P 4 2ab'
loop_
_atom_site_label
_atom_site_type_symbol
_atom_site_fract_x
_atom_site_fract_y
_atom_site_fract_z
Hf1 Hf 0.1517 0.3483 0.0000
Zr1 Zr 0.1449 0.6449 0.5000
Au1 Au 0.0000 0.0000 0.5000
```

Computed properties:
V	22.7	A^3/atom

---

## 2
## Hf2Zr2Au (PBE)

Data for a relaxed Hf2Zr2Au crystal.

The structure in CIF format:
```
data_Hf2Zr2Au
_cell_length_a 7.2281
_cell_length_b 7.2281
_cell_length_c 4.3148
_cell_angle_alpha 90.00
_cell_angle_beta 90.00
_cell_angle_gamma 90.00
_symmetry_space_group_name_H-M 'P 4/m b m'
_symmetry_Int_Tables_number 127
_symmetry_space_group_name_Hall '-P 4 2ab'
loop_
_atom_site_label
_atom_site_type_symbol
_atom_site_fract_x
_atom_site_fract_y
_atom_site_fract_z
Hf1 Hf 0.1441 0.3559 0.0000
Zr1 Zr 0.1542 0.6542 0.5000
Au1 Au 0.0000 0.0000 0.0000
```

Computed properties:
V	22.5	A^3/atom

---

Quick ranking, most stable first: 2, 1.

---

## 1
## HfZr3Au (PBE)

Data for a relaxed HfZr3Au crystal.

The structure in CIF format:
```
data_HfZr3Au
_cell_length_a 5.1510
_cell_length_b 5.1510
_cell_length_c 5.1510
_cell_angle_alpha 90.00
_cell_angle_beta 90.00
_cell_angle_gamma 90.00
_symmetry_space_group_name_H-M 'P m -3 m'
_symmetry_Int_Tables_number 221
_symmetry_space_group_name_Hall '-P 4 2 3'
loop_
_atom_site_label
_atom_site_type_symbol
_atom_site_fract_x
_atom_site_fract_y
_atom_site_fract_z
Hf1 Hf 0.0000 0.0000 0.0000
Zr1 Zr 0.0000 0.5000 0.5000
Au1 Au 0.5000 0.5000 0.5000
```

Computed properties:
V	27.3	A^3/atom

---

## 2
## HfZr3Au (PBE)

Data for a relaxed HfZr3Au crystal.

The structure in CIF format:
```
data_HfZr3Au
_cell_length_a 5.1099
_cell_length_b 5.1099
_cell_length_c 5.1099
_cell_angle_alpha 90.00
_cell_angle_beta 90.00
_cell_angle_gamma 90.00
_symmetry_space_group_name_H-M 'P m -3 m'
_symmetry_Int_Tables_number 221
_symmetry_space_group_name_Hall '-P 4 2 3'
loop_
_atom_site_label
_atom_site_type_symbol
_atom_site_fract_x
_atom_site_fract_y
_atom_site_fract_z
Hf1 Hf 0.0000 0.0000 0.0000
Zr1 Zr 0.0000 0.0000 0.5000
Au1 Au 0.5000 0.5000 0.5000
```

Computed properties:
V	26.7	A^3/atom

---

Quick ranking, most stable first: 1, 2.

---

## 1
## HgAu4 (PBE)

Data for a relaxed HgAu4 crystal.

The structure in CIF format:
```
data_HgAu4
_cell_length_a 3.0340
_cell_length_b 3.0340
_cell_length_c 35.7931
_cell_angle_alpha 90.00
_cell_angle_beta 90.00
_cell_angle_gamma 120.00
_symmetry_space_group_name_H-M 'R -3 m'
_symmetry_Int_Tables_number 166
_symmetry_space_group_name_Hall '-R 3 2"'
loop_
_atom_site_label
_atom_site_type_symbol
_atom_site_fract_x
_atom_site_fract_y
_atom_site_fract_z
Hg1 Hg 0.0000 0.0000 0.0000
Au1 Au 0.0000 0.0000 0.1987
Au2 Au 0.0000 0.0000 0.4030
```

Computed properties:
V	19.0	A^3/atom

---

## 2
## HgAu4 (PBE)

Data for a relaxed HgAu4 crystal.

The structure in CIF format:
```
data_HgAu4
_cell_length_a 5.1801
_cell_length_b 5.1801
_cell_length_c 5.1801
_cell_angle_alpha 90.00
_cell_angle_beta 90.00
_cell_angle_gamma 90.00
_symmetry_space_group_name_H-M 'P m -3 m'
_symmetry_Int_Tables_number 221
_symmetry_space_group_name_Hall '-P 4 2 3'
loop_
_atom_site_label
_atom_site_type_symbol
_atom_site_fract_x
_atom_site_fract_y
_atom_site_fract_z
Hg1 Hg 0.0000 0.0000 0.0000
Au1 Au 0.0000 0.0000 0.5000
Au2 Au 0.5000 0.5000 0.5000
```

Computed properties:
V	27.8	A^3/atom

---

## 3
## HgAu4 (PBE)

Data for a relaxed HgAu4 crystal.

The structure in CIF format:
```
data_HgAu4
_cell_length_a 7.8435
_cell_length_b 5.0867
_cell_length_c 5.0548
_cell_angle_alpha 90.00
_cell_angle_beta 109.30
_cell_angle_gamma 90.00
_symmetry_space_group_name_H-M 'C 1 2/m 1'
_symmetry_Int_Tables_number 12
_symmetry_space_group_name_Hall '-C 2y'
loop_
_atom_site_label
_atom_site_type_symbol
_atom_site_fract_x
_atom_site_fract_y
_atom_site_fract_z
Hg1 Hg 0.0000 0.0000 0.0000
Au1 Au 0.0983 0.5000 0.7946
Au2 Au 0.2029 0.0000 0.6039
```

Computed properties:
V	19.0	A^3/atom

---

## 4
## HgAu4 (PBE)

Data for a relaxed HgAu4 crystal.

The structure in CIF format:
```
data_HgAu4
_cell_length_a 3.8837
_cell_length_b 3.8837
_cell_length_c 13.9998
_cell_angle_alpha 90.00
_cell_angle_beta 90.00
_cell_angle_gamma 90.00
_symmetry_space_group_name_H-M 'I 4/m m m'
_symmetry_Int_Tables_number 139
_symmetry_space_group_name_Hall '-I 4 2'
loop_
_atom_site_label
_atom_site_type_symbol
_atom_site_fract_x
_atom_site_fract_y
_atom_site_fract_z
Hg1 Hg 0.0000 0.0000 0.0000
Au1 Au 0.0000 0.0000 0.4031
Au2 Au 0.0000 0.5000 0.2500
```

Computed properties:
V	21.1	A^3/atom

---

Quick ranking, most stable first: 3, 1, 4, 2.

---

## 1
## HgAu4 (PBE)

Data for a relaxed HgAu4 crystal.

The structure in CIF format:
```
data_HgAu4
_cell_length_a 9.4942
_cell_length_b 9.4942
_cell_length_c 9.4942
_cell_angle_alpha 90.00
_cell_angle_beta 90.00
_cell_angle_gamma 90.00
_symmetry_space_group_name_H-M 'I -4 3 m'
_symmetry_Int_Tables_number 217
_symmetry_space_group_name_Hall 'I -4 2 3'
loop_
_atom_site_label
_atom_site_type_symbol
_atom_site_fract_x
_atom_site_fract_y
_atom_site_fract_z
Hg1 Hg 0.2119 0.2119 0.7881
Au1 Au 0.0000 0.0000 0.3489
Au2 Au 0.0000 0.2500 0.5000
Au3 Au 0.1134 0.1134 0.1134
```

Computed properties:
V	21.4	A^3/atom

---

## 2
## HgAu4 (PBE)

Data for a relaxed HgAu4 crystal.

The structure in CIF format:
```
data_HgAu4
_cell_length_a 6.7431
_cell_length_b 6.7431
_cell_length_c 4.1430
_cell_angle_alpha 90.00
_cell_angle_beta 90.00
_cell_angle_gamma 90.00
_symmetry_space_group_name_H-M 'I 4/m'
_symmetry_Int_Tables_number 87
_symmetry_space_group_name_Hall '-I 4'
loop_
_atom_site_label
_atom_site_type_symbol
_atom_site_fract_x
_atom_site_fract_y
_atom_site_fract_z
Hg1 Hg 0.0000 0.0000 0.0000
Au1 Au 0.0994 0.6972 0.5000
```

Computed properties:
V	18.8	A^3/atom

---

Quick ranking, most stable first: 2, 1.

---

## 1
## Hg3Au5 (PBE)

Data for a relaxed Hg3Au5 crystal.

The structure in CIF format:
```
data_Hg3Au5
_cell_length_a 6.5055
_cell_length_b 13.3005
_cell_length_c 8.2156
_cell_angle_alpha 90.00
_cell_angle_beta 100.23
_cell_angle_gamma 90.00
_symmetry_space_group_name_H-M 'C 1 m 1'
_symmetry_Int_Tables_number 8
_symmetry_space_group_name_Hall 'C -2y'
loop_
_atom_site_label
_atom_site_type_symbol
_atom_site_fract_x
_atom_site_fract_y
_atom_site_fract_z
Hg1 Hg 0.0000 0.0000 0.0000
Hg2 Hg 0.0357 0.5000 0.3203
Hg3 Hg 0.2682 0.1934 0.1608
Hg4 Hg 0.2680 0.3319 0.6603
Au1 Au 0.0113 0.5000 0.7274
Au2 Au 0.0247 0.0000 0.5943
Au3 Au 0.1225 0.3818 0.0107
Au4 Au 0.2128 0.1450 0.8244
Au5 Au 0.3233 0.1446 0.4969
Au6 Au 0.4138 0.3822 0.3103
```

Computed properties:
V	21.9	A^3/atom

---

## 2
## Hg3Au5 (PBE)

Data for a relaxed Hg3Au5 crystal.

The structure in CIF format:
```
data_Hg3Au5
_cell_length_a 8.4798
_cell_length_b 8.4798
_cell_length_c 5.3523
_cell_angle_alpha 90.00
_cell_angle_beta 90.00
_cell_angle_gamma 120.00
_symmetry_space_group_name_H-M 'P 63/m c m'
_symmetry_Int_Tables_number 193
_symmetry_space_group_name_Hall '-P 6c 2'
loop_
_atom_site_label
_atom_site_type_symbol
_atom_site_fract_x
_atom_site_fract_y
_atom_site_fract_z
Hg1 Hg 0.0000 0.3927 0.2500
Au1 Au 0.0000 0.1982 0.7500
Au2 Au 0.3333 0.6667 0.0000
```

Computed properties:
V	20.8	A^3/atom

---

Quick ranking, most stable first: 1, 2.

---

## 1
## HgAu8 (PBE)

Data for a relaxed HgAu8 crystal.

The structure in CIF format:
```
data_HgAu8
_cell_length_a 8.9172
_cell_length_b 8.9172
_cell_length_c 4.1833
_cell_angle_alpha 90.00
_cell_angle_beta 90.00
_cell_angle_gamma 90.00
_symmetry_space_group_name_H-M 'I 4/m m m'
_symmetry_Int_Tables_number 139
_symmetry_space_group_name_Hall '-I 4 2'
loop_
_atom_site_label
_atom_site_type_symbol
_atom_site_fract_x
_atom_site_fract_y
_atom_site_fract_z
Hg1 Hg 0.0000 0.0000 0.0000
Au1 Au 0.0000 0.3351 0.0000
Au2 Au 0.1683 0.1683 0.5000
```

Computed properties:
V	18.5	A^3/atom

---

## 2
## HgAu8 (PBE)

Data for a relaxed HgAu8 crystal.

The structure in CIF format:
```
data_HgAu8
_cell_length_a 10.6940
_cell_length_b 10.6940
_cell_length_c 2.9338
_cell_angle_alpha 90.00
_cell_angle_beta 90.00
_cell_angle_gamma 90.00
_symmetry_space_group_name_H-M 'I 4/m m m'
_symmetry_Int_Tables_number 139
_symmetry_space_group_name_Hall '-I 4 2'
loop_
_atom_site_label
_atom_site_type_symbol
_atom_site_fract_x
_atom_site_fract_y
_atom_site_fract_z
Hg1 Hg 0.0000 0.0000 0.0000
Au1 Au 0.0000 0.3344 0.0000
Au2 Au 0.1687 0.1687 0.5000
```

Computed properties:
V	18.6	A^3/atom

---

Quick ranking, most stable first: 1, 2.

---

## 1
## Hg2Au13 (PBE)

Data for a relaxed Hg2Au13 crystal.

The structure in CIF format:
```
data_Hg2Au13
_cell_length_a 7.7035
_cell_length_b 7.7035
_cell_length_c 20.8345
_cell_angle_alpha 90.00
_cell_angle_beta 90.00
_cell_angle_gamma 120.00
_symmetry_space_group_name_H-M 'R -3 m'
_symmetry_Int_Tables_number 166
_symmetry_space_group_name_Hall '-R 3 2"'
loop_
_atom_site_label
_atom_site_type_symbol
_atom_site_fract_x
_atom_site_fract_y
_atom_site_fract_z
Hg1 Hg 0.0000 0.0000 0.2320
Au1 Au 0.0000 0.0000 0.0000
Au2 Au 0.0842 0.5421 0.5588
Au3 Au 0.0921 0.5461 0.3100
```

Computed properties:
V	23.8	A^3/atom

---

## 2
## Hg2Au13 (PBE)

Data for a relaxed Hg2Au13 crystal.

The structure in CIF format:
```
data_Hg2Au13
_cell_length_a 6.1562
_cell_length_b 7.1100
_cell_length_c 7.7132
_cell_angle_alpha 62.85
_cell_angle_beta 80.55
_cell_angle_gamma 76.90
_symmetry_space_group_name_H-M 'P -1'
_symmetry_Int_Tables_number 2
_symmetry_space_group_name_Hall '-P 1'
loop_
_atom_site_label
_atom_site_type_symbol
_atom_site_fract_x
_atom_site_fract_y
_atom_site_fract_z
Hg1 Hg 0.1049 0.1547 0.0788
Au1 Au 0.0000 0.0000 0.5000
Au2 Au 0.0247 0.7207 0.3304
Au3 Au 0.1732 0.5712 0.7221
Au4 Au 0.2804 0.4978 0.0926
Au5 Au 0.3793 0.9070 0.7395
Au6 Au 0.4033 0.3406 0.4719
Au7 Au 0.4658 0.7954 0.1506
```

Computed properties:
V	19.5	A^3/atom

---

Quick ranking, most stable first: 2, 1.

---

## 1
## Ho4HgAu2 (PBE)

Data for a relaxed Ho4HgAu2 crystal.

The structure in CIF format:
```
data_Ho4HgAu2
_cell_length_a 5.0609
_cell_length_b 5.0609
_cell_length_c 24.7285
_cell_angle_alpha 90.00
_cell_angle_beta 90.00
_cell_angle_gamma 120.00
_symmetry_space_group_name_H-M 'R -3 m'
_symmetry_Int_Tables_number 166
_symmetry_space_group_name_Hall '-R 3 2"'
loop_
_atom_site_label
_atom_site_type_symbol
_atom_site_fract_x
_atom_site_fract_y
_atom_site_fract_z
Ho1 Ho 0.0000 0.0000 0.1204
Ho2 Ho 0.0000 0.0000 0.3722
Hg1 Hg 0.0000 0.0000 0.5000
Au1 Au 0.0000 0.0000 0.2528
```

Computed properties:
V	26.1	A^3/atom

---

## 2
## Ho4HgAu2 (PBE)

Data for a relaxed Ho4HgAu2 crystal.

The structure in CIF format:
```
data_Ho4HgAu2
_cell_length_a 4.8223
_cell_length_b 4.8223
_cell_length_c 29.0040
_cell_angle_alpha 90.00
_cell_angle_beta 90.00
_cell_angle_gamma 120.00
_symmetry_space_group_name_H-M 'R -3 m'
_symmetry_Int_Tables_number 166
_symmetry_space_group_name_Hall '-R 3 2"'
loop_
_atom_site_label
_atom_site_type_symbol
_atom_site_fract_x
_atom_site_fract_y
_atom_site_fract_z
Ho1 Ho 0.0000 0.0000 0.1168
Ho2 Ho 0.0000 0.0000 0.2976
Hg1 Hg 0.0000 0.0000 0.5000
Au1 Au 0.0000 0.0000 0.3988
```

Computed properties:
V	27.8	A^3/atom

---

Quick ranking, most stable first: 1, 2.

---

## 1
## Ho3Hg2Au (PBE)

Data for a relaxed Ho3Hg2Au crystal.

The structure in CIF format:
```
data_Ho3Hg2Au
_cell_length_a 3.6530
_cell_length_b 3.6530
_cell_length_c 11.0728
_cell_angle_alpha 90.00
_cell_angle_beta 90.00
_cell_angle_gamma 90.00
_symmetry_space_group_name_H-M 'P 4/m m m'
_symmetry_Int_Tables_number 123
_symmetry_space_group_name_Hall '-P 4 2'
loop_
_atom_site_label
_atom_site_type_symbol
_atom_site_fract_x
_atom_site_fract_y
_atom_site_fract_z
Ho1 Ho 0.0000 0.0000 0.0000
Ho2 Ho 0.0000 0.0000 0.3433
Hg1 Hg 0.5000 0.5000 0.1670
Au1 Au 0.5000 0.5000 0.5000
```

Computed properties:
V	24.6	A^3/atom

---

## 2
## Ho3Hg2Au (PBE)

Data for a relaxed Ho3Hg2Au crystal.

The structure in CIF format:
```
data_Ho3Hg2Au
_cell_length_a 5.1753
_cell_length_b 5.1753
_cell_length_c 6.3556
_cell_angle_alpha 90.00
_cell_angle_beta 90.00
_cell_angle_gamma 120.00
_symmetry_space_group_name_H-M 'P -3 m 1'
_symmetry_Int_Tables_number 164
_symmetry_space_group_name_Hall '-P 3 2"'
loop_
_atom_site_label
_atom_site_type_symbol
_atom_site_fract_x
_atom_site_fract_y
_atom_site_fract_z
Ho1 Ho 0.0000 0.0000 0.0000
Ho2 Ho 0.3333 0.6667 0.6539
Hg1 Hg 0.3333 0.6667 0.1546
Au1 Au 0.0000 0.0000 0.5000
```

Computed properties:
V	24.6	A^3/atom

---

Quick ranking, most stable first: 1, 2.

---

## 1
## Ho2Hg2Au (PBE)

Data for a relaxed Ho2Hg2Au crystal.

The structure in CIF format:
```
data_Ho2Hg2Au
_cell_length_a 6.6664
_cell_length_b 12.8145
_cell_length_c 6.0121
_cell_angle_alpha 90.00
_cell_angle_beta 90.00
_cell_angle_gamma 90.00
_symmetry_space_group_name_H-M 'I b a m'
_symmetry_Int_Tables_number 72
_symmetry_space_group_name_Hall '-I 2 2c'
loop_
_atom_site_label
_atom_site_type_symbol
_atom_site_fract_x
_atom_site_fract_y
_atom_site_fract_z
Ho1 Ho 0.2160 0.1602 0.0000
Hg1 Hg 0.1526 0.3984 0.0000
Au1 Au 0.0000 0.0000 0.2500
```

Computed properties:
V	25.7	A^3/atom

---

## 2
## Ho2Hg2Au (PBE)

Data for a relaxed Ho2Hg2Au crystal.

The structure in CIF format:
```
data_Ho2Hg2Au
_cell_length_a 3.6059
_cell_length_b 19.9513
_cell_length_c 3.4560
_cell_angle_alpha 90.00
_cell_angle_beta 90.00
_cell_angle_gamma 90.00
_symmetry_space_group_name_H-M 'C m m m'
_symmetry_Int_Tables_number 65
_symmetry_space_group_name_Hall '-C 2 2'
loop_
_atom_site_label
_atom_site_type_symbol
_atom_site_fract_x
_atom_site_fract_y
_atom_site_fract_z
Ho1 Ho 0.0000 0.0919 0.0000
Hg1 Hg 0.0000 0.3086 0.5000
Au1 Au 0.0000 0.5000 0.5000
```

Computed properties:
V	24.9	A^3/atom

---

Quick ranking, most stable first: 2, 1.

---

## 1
## HoPuHgAu (PBE)

Data for a relaxed HoPuHgAu crystal.

The structure in CIF format:
```
data_HoPuHgAu
_cell_length_a 3.5752
_cell_length_b 3.5752
_cell_length_c 7.7351
_cell_angle_alpha 90.00
_cell_angle_beta 90.00
_cell_angle_gamma 90.00
_symmetry_space_group_name_H-M 'P 4 m m'
_symmetry_Int_Tables_number 99
_symmetry_space_group_name_Hall 'P 4 -2'
loop_
_atom_site_label
_atom_site_type_symbol
_atom_site_fract_x
_atom_site_fract_y
_atom_site_fract_z
Ho1 Ho 0.0000 0.0000 0.0000
Pu1 Pu 0.0000 0.0000 0.5310
Hg1 Hg 0.5000 0.5000 0.2551
Au1 Au 0.5000 0.5000 0.7903
```

Computed properties:
V	24.7	A^3/atom

---

## 2
## HoPuHgAu (PBE)

Data for a relaxed HoPuHgAu crystal.

The structure in CIF format:
```
data_HoPuHgAu
_cell_length_a 7.3583
_cell_length_b 7.3583
_cell_length_c 7.3583
_cell_angle_alpha 90.00
_cell_angle_beta 90.00
_cell_angle_gamma 90.00
_symmetry_space_group_name_H-M 'F -4 3 m'
_symmetry_Int_Tables_number 216
_symmetry_space_group_name_Hall 'F -4 2 3'
loop_
_atom_site_label
_atom_site_type_symbol
_atom_site_fract_x
_atom_site_fract_y
_atom_site_fract_z
Ho1 Ho 0.0000 0.0000 0.0000
Pu1 Pu 0.0000 0.0000 0.5000
Hg1 Hg 0.2500 0.2500 0.2500
Au1 Au 0.2500 0.2500 0.7500
```

Computed properties:
V	24.9	A^3/atom

---

Quick ranking, most stable first: 1, 2.